(1)
Material: SmHoTh2
Method: DFT, GGA-PBE
State: relaxed

Computed properties:
Final energy (eV per atom): -5.971
Crystal system: tetragonal
Polymorph energy (0 for the lowest one) (meV per atom): 33.5
Calculated formation energy (kcal/mol of atoms): 1.47
Spin magnetization (Bohr magnetons per cell): 0.0

a b c (Å): 3.5588 3.5588 10.2141
angles (deg): 90.00 90.00 90.00
Last column: nearest neighbours and their distance in Å.
Fractional positions:
Sm (0.0000, 0.0000, 0.0000)  4 Sm 3.56, 8 Th 3.61
Ho (0.0000, 0.0000, 0.5000)  4 Ho 3.56, 8 Th 3.56
Th (0.5000, 0.5000, 0.2534)  4 Th 3.56, 4 Ho 3.56, 4 Sm 3.61
Th (0.5000, 0.5000, 0.7466)  4 Th 3.56, 4 Ho 3.56, 4 Sm 3.61

=====

(2)
Material: TaBiO2
Method: DFT, GGA-PBE
State: relaxed

Computed properties:
Final energy (eV per atom): -7.933
Crystal system: trigonal
Raw formation energy (kJ/mol of atoms): -146.74
Spin magnetization (Bohr magnetons per cell): 0.0

a b c (Å): 8.5640 8.5640 8.5640
angles (deg): 20.86 20.86 20.86
Last column: nearest neighbours and their distance in Å.
Fractional positions:
Ta (0.0000, 0.0000, 0.0000)  6 O 2.11
Bi (0.5000, 0.5000, 0.5000)  2 O 3.07, 6 Bi 3.10
O (0.3779, 0.3779, 0.3779)  3 Ta 2.11
O (0.6221, 0.6221, 0.6221)  3 Ta 2.11

=====

(3)
Material: Th2Pa2Te7
Method: DFT, GGA-PBE
State: relaxed

Computed properties:
Final energy (eV per atom): -5.806
Crystal system: tetragonal
Polymorph energy (0 for the lowest one) (meV per atom): 277.3
Raw formation energy (kJ/mol of atoms): -70.58
Spin magnetization (Bohr magnetons per cell): 3.4

a b c (Å): 5.2733 5.2733 14.7271
angles (deg): 90.00 90.00 90.00
Last column: nearest neighbours and their distance in Å.
Fractional positions:
Th (0.0000, 0.5000, 0.1294)  6 Te 3.10-3.25
Th (0.5000, 0.0000, 0.8706)  6 Te 3.10-3.25
Pa (0.0000, 0.5000, 0.6230)  8 Te 3.20-3.32
Pa (0.5000, 0.0000, 0.3770)  8 Te 3.20-3.32
Te (0.0000, 0.0000, 0.2398)  2 Th 3.10, 2 Pa 3.32
Te (0.0000, 0.0000, 0.5000)  4 Pa 3.20
Te (0.0000, 0.0000, 0.7602)  2 Th 3.10, 2 Pa 3.32
Te (0.5000, 0.5000, 0.0000)  4 Th 3.25
Te (0.5000, 0.5000, 0.2538)  2 Pa 3.20, 2 Th 3.21
Te (0.5000, 0.5000, 0.5000)  4 Pa 3.20
Te (0.5000, 0.5000, 0.7462)  2 Pa 3.20, 2 Th 3.21

=====

(4)
Material: In2AgRu
Method: DFT, GGA-PBE
State: relaxed

Computed properties:
Final energy (eV per atom): -4.225
Crystal system: trigonal
Calculated formation energy (kcal/mol of atoms): 4.06
Spin magnetization (Bohr magnetons per cell): 0.3

a b c (Å): 9.2204 9.2204 9.2204
angles (deg): 19.63 19.63 19.63
Last column: nearest neighbours and their distance in Å.
Fractional positions:
In (0.2434, 0.2434, 0.2434)  3 Ru 2.76, 3 Ag 3.04
In (0.7566, 0.7566, 0.7566)  3 Ru 2.76, 3 Ag 3.04
Ag (0.0000, 0.0000, 0.0000)  6 In 3.04, 6 Ag 3.14
Ru (0.5000, 0.5000, 0.5000)  6 In 2.76

=====

(5)
Material: ZnRu2Se
Method: DFT, GGA-PBE
State: relaxed

Computed properties:
Final energy (eV per atom): -5.712
Crystal system: tetragonal
Polymorph energy (0 for the lowest one) (meV per atom): 25.2
Raw formation energy (kJ/mol of atoms): 11.15
Spin magnetization (Bohr magnetons per cell): 0.0

a b c (Å): 2.9095 2.9095 7.8435
angles (deg): 90.00 90.00 90.00
Last column: nearest neighbours and their distance in Å.
Fractional positions:
Zn (0.0000, 0.0000, 0.0000)  4 Ru 2.61, 4 Zn 2.91
Ru (0.0000, 0.0000, 0.4297)  4 Se 2.59, 4 Ru 2.71
Ru (0.5000, 0.5000, 0.2051)  4 Zn 2.61, 8 Ru 2.71-2.91
Se (0.5000, 0.5000, 0.6297)  4 Ru 2.59

=====

(6)
Material: Er2TmHg2
Method: DFT, GGA-PBE
State: relaxed

Computed properties:
Final energy (eV per atom): -3.223
Crystal system: monoclinic
Calculated formation energy (kcal/mol of atoms): -8.82
Spin magnetization (Bohr magnetons per cell): 0.0

a b c (Å): 3.7220 5.2212 13.5654
angles (deg): 90.00 97.95 90.00
Last column: nearest neighbours and their distance in Å.
Fractional positions:
Er (0.0466, 0.2500, 0.0951)  8 Hg 3.17-3.21
Er (0.2357, 0.2500, 0.4719)  2 Hg 3.08-3.09, 4 Er 3.29
Er (0.7643, 0.7500, 0.5281)  2 Hg 3.08-3.09, 4 Er 3.29
Er (0.9534, 0.7500, 0.9049)  8 Hg 3.17-3.21
Tm (0.1466, 0.7500, 0.2934)  6 Hg 3.21-3.24, 2 Er 3.54
Tm (0.8534, 0.2500, 0.7066)  6 Hg 3.21-3.24, 2 Er 3.54
Hg (0.3559, 0.7500, 0.7112)  4 Er 3.08-3.20, 4 Tm 3.21
Hg (0.4524, 0.2500, 0.9038)  6 Er 3.17-3.21, 2 Tm 3.24
Hg (0.5476, 0.7500, 0.0962)  6 Er 3.17-3.21, 2 Tm 3.24
Hg (0.6441, 0.2500, 0.2888)  4 Er 3.08-3.20, 4 Tm 3.21

=====

(7)
Material: Y2CrCl
Method: DFT, GGA-PBE
State: relaxed

Computed properties:
Final energy (eV per atom): -6.294
Crystal system: monoclinic
Polymorph energy (0 for the lowest one) (meV per atom): 274.0
Raw formation energy (kJ/mol of atoms): -18.74
Spin magnetization (Bohr magnetons per cell): 3.1

a b c (Å): 5.3489 5.3489 3.3052
angles (deg): 95.52 95.52 89.64
Last column: nearest neighbours and their distance in Å.
Fractional positions:
Y (0.0000, 0.5000, 0.0000)  4 Cr 3.01-3.28, 4 Cl 3.01-3.28, 2 Y 3.31
Y (0.5000, 0.0000, 0.0000)  4 Cr 3.01-3.28, 4 Cl 3.01-3.28, 2 Y 3.31
Cr (0.0000, 0.0000, 0.5000)  8 Y 3.01-3.28, 2 Cr 3.31
Cl (0.5000, 0.5000, 0.5000)  8 Y 3.01-3.28, 2 Cl 3.31

=====

(8)
Material: Nd4Y15Tl
Method: DFT, GGA-PBE
State: relaxed

Computed properties:
Final energy (eV per atom): -5.933
Crystal system: tetragonal
Calculated formation energy (kcal/mol of atoms): -0.31
Spin magnetization (Bohr magnetons per cell): 0.5

a b c (Å): 5.0289 5.0289 25.5004
angles (deg): 90.00 90.00 90.00
Last column: nearest neighbours and their distance in Å.
Fractional positions:
Nd (0.0000, 0.0000, 0.1014)  12 Y 3.56-3.61
Nd (0.0000, 0.0000, 0.3019)  12 Y 3.56-3.63
Nd (0.0000, 0.0000, 0.6981)  12 Y 3.56-3.63
Nd (0.0000, 0.0000, 0.8986)  12 Y 3.56-3.61
Y (0.0000, 0.5000, 0.0000)  8 Y 3.56-3.61, 4 Nd 3.61
Y (0.0000, 0.5000, 0.2021)  8 Y 3.56-3.65, 4 Nd 3.58-3.59
Y (0.0000, 0.5000, 0.4044)  8 Y 3.50-3.56, 2 Tl 3.50, 2 Nd 3.63
Y (0.0000, 0.5000, 0.5956)  8 Y 3.50-3.56, 2 Tl 3.50, 2 Nd 3.63
Y (0.0000, 0.5000, 0.7979)  8 Y 3.56-3.65, 4 Nd 3.58-3.59
Y (0.5000, 0.0000, 0.0000)  8 Y 3.56-3.61, 4 Nd 3.61
Y (0.5000, 0.0000, 0.2021)  8 Y 3.56-3.65, 4 Nd 3.58-3.59
Y (0.5000, 0.0000, 0.4044)  8 Y 3.50-3.56, 2 Tl 3.50, 2 Nd 3.63
Y (0.5000, 0.0000, 0.5956)  8 Y 3.50-3.56, 2 Tl 3.50, 2 Nd 3.63
Y (0.5000, 0.0000, 0.7979)  8 Y 3.56-3.65, 4 Nd 3.58-3.59
Y (0.5000, 0.5000, 0.1015)  4 Nd 3.56, 8 Y 3.59-3.61
Y (0.5000, 0.5000, 0.3058)  8 Y 3.55-3.65, 4 Nd 3.56
Y (0.5000, 0.5000, 0.5000)  8 Y 3.50, 4 Tl 3.56
Y (0.5000, 0.5000, 0.6942)  8 Y 3.55-3.65, 4 Nd 3.56
Y (0.5000, 0.5000, 0.8985)  4 Nd 3.56, 8 Y 3.59-3.61
Tl (0.0000, 0.0000, 0.5000)  12 Y 3.50-3.56